A geometry-optimized BeTcAg2 structure. Source: the Alexandria database, functional GGA-PBEsol.

Unit cell a=8.8641 b=8.8641 c=8.8641 alpha=17.61 beta=17.61 gamma=17.61
Closest atoms and distances in Å follow each position.
Fractional positions:
Be: 0.0000 0.0000 0.0000  6 Ag 2.51, 6 Be 2.71
Tc: 0.5000 0.5000 0.5000  6 Tc 2.71, 6 Ag 2.87
Ag: 0.2584 0.2584 0.2584  3 Be 2.51, 6 Ag 2.71
Ag: 0.7416 0.7416 0.7416  3 Be 2.51, 6 Ag 2.71

Output
DOS at the Fermi energy = 0.571 states/eV per atom
DFT total energy = -20.41 eV for the cell shown
size of the total moment = 0.00 μB per formula unit
volume = 13.9 A^3/atom
density = 9.6 g cm⁻³
ΔH_f (0 K) = 143 kJ/mol of formula units